No. 1
# CeP PBEsol optimized geometry
# - density (g/cm³) = 6.1
# - total magnetization (μB per cell) = 1.27
# - formation enthalpy at 0 K (eV per atom) = -1.444
data_CeP
_symmetry_space_group_name_H-M 'F m -3 m'
_symmetry_Int_Tables_number 225
_symmetry_space_group_name_Hall '-F 4 2 3'
_cell_length_a 5.7007
_cell_length_b 5.7007
_cell_length_c 5.7007
_cell_angle_alpha 90.00
_cell_angle_beta 90.00
_cell_angle_gamma 90.00
loop_
_atom_site_label
_atom_site_type_symbol
_atom_site_fract_x
_atom_site_fract_y
_atom_site_fract_z
Ce1 Ce 0.0000 0.0000 0.0000
P1 P 0.0000 0.0000 0.5000

***

No. 2
# CePPd PBEsol optimized geometry
# - density (g/cm³) = 8.0
# - total magnetization (μB per cell) = 1.86
# - formation enthalpy at 0 K (eV per atom) = -1.190
data_CePPd
_symmetry_space_group_name_H-M 'P 63/m m c'
_symmetry_Int_Tables_number 194
_symmetry_space_group_name_Hall '-P 6c 2c'
_cell_length_a 4.1425
_cell_length_b 4.1425
_cell_length_c 7.7370
_cell_angle_alpha 90.00
_cell_angle_beta 90.00
_cell_angle_gamma 120.00
loop_
_atom_site_label
_atom_site_type_symbol
_atom_site_fract_x
_atom_site_fract_y
_atom_site_fract_z
Ce1 Ce 0.0000 0.0000 0.0000
P1 P 0.3333 0.6667 0.2500
Pd1 Pd 0.3333 0.6667 0.7500